[1]
The following is a GGA-PBE calculation of a relaxed TePbI crystal, from the Alexandria database.

Summary:
distance to the lowest polymorph of the same formula	0.032	eV/atom
formation energy from raw total energies	-0.3130	eV per atom

Unit cell a=7.9775 b=5.0940 c=12.7578 alpha=90.00 beta=107.13 gamma=90.00
With the nearest neighbours (Å) after each atom.
Space group C2/m (No. 12)
One atom of each set of equivalent atoms:
Te 0.2388 0.0000 0.4340  2 Te 3.03, 3 Pb 3.22-3.32
Pb 0.1689 0.0000 0.7060  3 Te 3.22-3.32, 3 I 3.29-3.41
I 0.1026 0.5000 0.8520  3 Pb 3.29-3.41

***

[2]
The following is a GGA-PBE calculation of a relaxed Pr4Hg2Cl crystal, from the Alexandria database.

Summary:
distance to the lowest polymorph of the same formula	0.150	eV/atom
formation energy from raw total energies	-0.5366	eV per atom

Unit cell a=5.4181 b=5.4181 c=15.3569 alpha=90.00 beta=90.00 gamma=90.00
With the nearest neighbours (Å) after each atom.
Space group I4/mmm (No. 139)
One atom of each set of equivalent atoms:
Pr 0.0000 0.0000 0.1889  1 Cl 2.90, 1 Hg 3.02
Pr 0.0000 0.5000 0.0000  2 Cl 2.71
Hg 0.0000 0.0000 0.3858  5 Pr 3.02-3.23
Cl 0.0000 0.0000 0.0000  6 Pr 2.71-2.90

***

[3]
The following is a GGA-PBE calculation of a relaxed BaCuSb2 crystal, from the Alexandria database.

Summary:
formation energy from raw total energies	-0.4323	eV per atom

Unit cell a=5.2198 b=4.2496 c=5.8772 alpha=90.00 beta=101.63 gamma=90.00
With the nearest neighbours (Å) after each atom.
Space group P2/m (No. 10)
One atom of each set of equivalent atoms:
Ba 0.0000 0.0000 0.0000  2 Cu 3.51, 8 Sb 3.56-3.83
Cu 0.5000 0.0000 0.5000  4 Sb 2.64
Sb 0.4034 0.5000 0.7361  2 Cu 2.64

***

[4]
The following is a GGA-PBE calculation of a relaxed Ce5SmIr5 crystal, from the Alexandria database.

Summary:
formation energy from the elements	-632	meV/atom

Unit cell a=12.7061 b=5.7117 c=8.1255 alpha=90.00 beta=108.58 gamma=90.00
With the nearest neighbours (Å) after each atom.
Space group C2/m (No. 12)
One atom of each set of equivalent atoms:
Ce 0.0000 0.0000 0.0000  4 Ir 2.77-2.83
Ce 0.1697 0.5000 0.8286  5 Ir 2.76-2.86
Ce 0.1717 0.5000 0.3434  5 Ir 2.85-2.89
Sm 0.0000 0.0000 0.5000  6 Ir 2.86-2.95
Ir 0.0000 0.5000 0.5000  4 Ce 2.85, 2 Sm 2.86
Ir 0.1638 0.0000 0.3209  5 Ce 2.76-2.86, 1 Sm 2.90
Ir 0.1709 0.0000 0.8459  5 Ce 2.77-2.89, 1 Sm 2.95

***

[5]
The following is a GGA-PBE calculation of a relaxed Pr4CoNiI2 crystal, from the Alexandria database.

Summary:
formation energy from raw total energies	-0.6227	eV per atom

Unit cell a=7.1705 b=4.1315 c=8.5032 alpha=90.00 beta=106.35 gamma=90.00
With the nearest neighbours (Å) after each atom.
Space group P2/m (No. 10)
One atom of each set of equivalent atoms:
Pr 0.2218 0.0000 0.1826  2 Co 2.80, 1 Ni 2.85
Pr 0.2670 0.5000 0.8175  1 Co 2.78, 2 Ni 2.83
Co 0.0000 0.5000 0.0000  6 Pr 2.78-2.80
Ni 0.5000 0.0000 0.0000  6 Pr 2.83-2.85
I 0.0000 0.0000 0.5000  6 Pr 3.50-3.51
I 0.5000 0.5000 0.5000  6 Pr 3.54-3.55

***

[6]
The following is a GGA-PBE calculation of a relaxed LiIn2GaO5 crystal, from the Alexandria database.

Summary:
formation energy from raw total energies	-1.6441	eV per atom

Unit cell a=3.1729 b=14.7232 c=10.4172 alpha=90.00 beta=90.00 gamma=90.00
With the nearest neighbours (Å) after each atom.
Space group Cmc2_1 (No. 36)
One atom of each set of equivalent atoms:
Li 0.0000 0.1930 0.0000  5 O 2.06-2.23
In 0.0000 0.1377 0.2585  5 O 2.13-2.32
In 0.0000 0.1684 0.7278  5 O 2.11-2.20
Ga 0.0000 0.4899 0.0112  4 O 1.86-1.88
O 0.0000 0.0554 0.0361  2 Ga 1.87, 1 Li 2.06
O 0.0000 0.2801 0.3546  3 In 2.20-2.32, 2 Li 2.23
O 0.0000 0.3008 0.6429  3 In 2.14-2.19, 2 Li 2.18
O 0.0000 0.3968 0.1321  1 Ga 1.86
O 0.0000 0.4355 0.8482  1 Ga 1.88